# 1
Below is a geometry-optimized ThFe2 structure, with properties calculated at the PBE level.

Unit cell a=10.6533 b=10.6533 c=10.6533 alpha=90.00 beta=90.00 gamma=90.00
With the nearest neighbours (Å) after each atom.
Space group Fd-3m (No. 227, origin choice 2)
Symmetry-distinct sites (fractional):
Th: 0.1250 0.1250 0.1250 (multiplicity 8)  4 Fe 2.31
Fe: 0.0000 0.0000 0.0000 (multiplicity 16)  2 Th 2.31

Values from the calculation:
Final energy = -5.296 eV per atom
ΔE_f = 2.714 eV per atom

=====

# 2
Below is a geometry-optimized HoErTm2Mg2 structure, with properties calculated at the PBE level.

Unit cell a=5.4176 b=3.6017 c=17.1230 alpha=90.00 beta=90.00 gamma=90.00
With the nearest neighbours (Å) after each atom.
Space group Amm2 (No. 38)
Symmetry-distinct sites (fractional):
Ho: 0.0000 0.0000 0.0000 (multiplicity 2)  6 Mg 3.28-3.30, 4 Tm 3.51-3.55, 2 Ho 3.60
Er: 0.5000 0.0000 0.1908 (multiplicity 2)  6 Mg 3.28-3.30, 4 Tm 3.51-3.55, 2 Er 3.60
Tm: 0.0000 0.0000 0.3215 (multiplicity 2)  2 Mg 3.30, 6 Tm 3.35-3.60, 2 Er 3.51, 2 Ho 3.55
Tm: 0.5000 0.0000 0.8692 (multiplicity 2)  2 Mg 3.30, 6 Tm 3.35-3.60, 2 Ho 3.51, 2 Er 3.55
Mg: 0.0000 0.0000 0.6598 (multiplicity 2)  2 Ho 3.28, 4 Er 3.30, 2 Tm 3.30, 4 Mg 3.49-3.60
Mg: 0.5000 0.0000 0.5310 (multiplicity 2)  2 Er 3.28, 4 Ho 3.30, 2 Tm 3.30, 4 Mg 3.49-3.60

Values from the calculation:
Final energy = -3.584 eV per atom

=====

# 3
Below is a geometry-optimized CsSrTh structure, with properties calculated at the PBE level.

Unit cell a=8.3245 b=8.3245 c=8.3245 alpha=90.00 beta=90.00 gamma=90.00
With the nearest neighbours (Å) after each atom.
Space group F-43m (No. 216)
Symmetry-distinct sites (fractional):
Cs: 0.0000 0.0000 0.0000 (multiplicity 4)  4 Th 3.60, 4 Sr 3.60
Sr: 0.2500 0.2500 0.2500 (multiplicity 4)  4 Cs 3.60
Th: 0.2500 0.2500 0.7500 (multiplicity 4)  4 Cs 3.60

Values from the calculation:
Final energy = -1.926 eV per atom

=====

# 4
Below is a geometry-optimized AlTlAu structure, with properties calculated at the PBE level.

Unit cell a=4.6383 b=4.6383 c=6.5642 alpha=90.00 beta=90.00 gamma=90.00
With the nearest neighbours (Å) after each atom.
Space group P4_2/mmc (No. 131)
Symmetry-distinct sites (fractional):
Al: 0.0000 0.0000 0.2500 (multiplicity 2)  4 Au 2.84
Tl: 0.5000 0.5000 0.2500 (multiplicity 2)  4 Au 2.84
Au: 0.0000 0.5000 0.0000 (multiplicity 2)  4 Tl 2.84, 4 Al 2.84

Values from the calculation:
Final energy = -3.141 eV per atom

=====

# 5
Below is a geometry-optimized LiGaPt structure, with properties calculated at the PBE level.

Unit cell a=4.1700 b=4.1700 c=5.4369 alpha=90.00 beta=90.00 gamma=120.00
With the nearest neighbours (Å) after each atom.
Space group P6_3/mmc (No. 194)
Symmetry-distinct sites (fractional):
Li: 0.3333 0.6667 0.2500 (multiplicity 2)  3 Ga 2.41
Ga: 0.3333 0.6667 0.7500 (multiplicity 2)  3 Li 2.41
Pt: 0.0000 0.0000 0.0000 (multiplicity 2)  2 Pt 2.72, 6 Li 2.76, 6 Ga 2.76

Values from the calculation:
Final energy = -4.309 eV per atom

=====

# 6
Below is a geometry-optimized TcAg2Pd structure, with properties calculated at the PBE level.

Unit cell a=6.4325 b=6.4325 c=6.4325 alpha=90.00 beta=90.00 gamma=90.00
With the nearest neighbours (Å) after each atom.
Space group F-43m (No. 216)
Symmetry-distinct sites (fractional):
Tc: 0.0000 0.0000 0.0000 (multiplicity 4)  4 Pd 2.79, 4 Ag 2.79
Ag: 0.0000 0.0000 0.5000 (multiplicity 4)  4 Pd 2.79, 4 Ag 2.79
Ag: 0.2500 0.2500 0.2500 (multiplicity 4)  4 Tc 2.79, 4 Ag 2.79
Pd: 0.2500 0.2500 0.7500 (multiplicity 4)  4 Tc 2.79, 4 Ag 2.79

Values from the calculation:
Final energy = -4.813 eV per atom
ΔE_f = 0.483 eV per atom

=====

# 7
Below is a geometry-optimized AcAgO3 structure, with properties calculated at the PBE level.

Unit cell a=4.5499 b=4.5499 c=4.5788 alpha=90.00 beta=90.00 gamma=90.00
With the nearest neighbours (Å) after each atom.
Space group P4mm (No. 99)
Symmetry-distinct sites (fractional):
Ac: 0.0000 0.0000 0.0000 (multiplicity 1)  6 O 2.21-2.39
Ag: 0.5000 0.5000 0.2501 (multiplicity 1)  4 O 2.31
O: 0.0000 0.0000 0.5172 (multiplicity 1)  2 Ac 2.21-2.37
O: 0.0000 0.5000 0.1608 (multiplicity 2)  2 Ag 2.31, 2 Ac 2.39

Values from the calculation:
Final energy = -5.563 eV per atom

=====

# 8
Below is a geometry-optimized HfBe2Al structure, with properties calculated at the PBE level.

Unit cell a=6.0870 b=6.0870 c=6.0870 alpha=90.00 beta=90.00 gamma=90.00
With the nearest neighbours (Å) after each atom.
Space group F-43m (No. 216)
Symmetry-distinct sites (fractional):
Hf: 0.0000 0.0000 0.0000 (multiplicity 4)  4 Al 2.64, 4 Be 2.64
Be: 0.0000 0.0000 0.5000 (multiplicity 4)  4 Be 2.64, 4 Al 2.64
Be: 0.2500 0.2500 0.2500 (multiplicity 4)  4 Hf 2.64, 4 Be 2.64
Al: 0.2500 0.2500 0.7500 (multiplicity 4)  4 Hf 2.64, 4 Be 2.64

Values from the calculation:
Final energy = -5.042 eV per atom

=====

# 9
Below is a geometry-optimized SrScU structure, with properties calculated at the PBE level.

Unit cell a=7.6993 b=7.6993 c=7.6993 alpha=90.00 beta=90.00 gamma=90.00
With the nearest neighbours (Å) after each atom.
Space group F-43m (No. 216)
Symmetry-distinct sites (fractional):
Sr: 0.0000 0.0000 0.0000 (multiplicity 4)  4 Sc 3.33
Sc: 0.2500 0.2500 0.2500 (multiplicity 4)  4 U 3.33, 4 Sr 3.33
U: 0.0000 0.0000 0.5000 (multiplicity 4)  4 Sc 3.33

Values from the calculation:
Final energy = -4.991 eV per atom

=====

# 10
Below is a geometry-optimized CsReAg3Te4 structure, with properties calculated at the PBE level.

Unit cell a=6.9818 b=6.9818 c=6.9818 alpha=90.00 beta=90.00 gamma=90.00
With the nearest neighbours (Å) after each atom.
Space group P-43m (No. 215)
Symmetry-distinct sites (fractional):
Cs: 0.0000 0.0000 0.0000 (multiplicity 1)  4 Te 3.49
Re: 0.5000 0.5000 0.5000 (multiplicity 1)  4 Te 2.56
Ag: 0.0000 0.5000 0.5000 (multiplicity 3)  4 Te 2.90
Te: 0.2884 0.2884 0.2884 (multiplicity 4)  1 Re 2.56

Values from the calculation:
Final energy = -3.797 eV per atom

=====

# 11
Below is a geometry-optimized PrAgPbS3 structure, with properties calculated at the PBE level.

Unit cell a=10.7948 b=4.1464 c=13.2255 alpha=90.00 beta=90.00 gamma=90.00
With the nearest neighbours (Å) after each atom.
Space group Pnma (No. 62)
Symmetry-distinct sites (fractional):
Pr: 0.0206 0.2500 0.2326 (multiplicity 4)  6 S 2.82-2.97
Ag: 0.2321 0.2500 0.7239 (multiplicity 4)  4 S 2.50-2.59
Pb: 0.2021 0.7500 0.4983 (multiplicity 4)  7 S 2.99-3.33
S: 0.0379 0.2500 0.6145 (multiplicity 4)  1 Ag 2.55
S: 0.0919 0.7500 0.1009 (multiplicity 4)  1 Ag 2.50
S: 0.2381 0.7500 0.8407 (multiplicity 4)  2 Ag 2.59

Values from the calculation:
Final energy = -4.958 eV per atom

=====

# 12
Below is a geometry-optimized TbCoPt structure, with properties calculated at the PBE level.

Unit cell a=6.3226 b=6.3226 c=6.3226 alpha=90.00 beta=90.00 gamma=90.00
With the nearest neighbours (Å) after each atom.
Space group F-43m (No. 216)
Symmetry-distinct sites (fractional):
Tb: 0.0000 0.0000 0.0000 (multiplicity 4)  4 Pt 2.74
Co: 0.0000 0.0000 0.5000 (multiplicity 4)  4 Pt 2.74
Pt: 0.2500 0.2500 0.7500 (multiplicity 4)  4 Tb 2.74, 4 Co 2.74

Values from the calculation:
Final energy = -6.158 eV per atom
ΔE_f = -0.227 eV per atom